No. 1
VASP calculation (PBE-GGA) on an optimized crystal structure of CaMnSbI2.

Output
**Total magnetic moment**: 0.002 μB per atom
**ΔE to the lowest computed polymorph**: 0 meV/atom
**VASP energy**: -18.305 eV for the cell shown
**ρ**: 5.16 g/cm3

a = 5.5448 Å, b = 5.5448 Å, c = 4.9242 Å
α = 90.00°, β = 90.00°, γ = 90.00°
Element x y z (fractional)
Ca  0.0000  0.0000  0.0000
Mn  0.5000  0.5000  0.5000
Sb  0.5000  0.5000  0.0000
I  0.0000  0.5000  0.5000
I  0.5000  0.0000  0.5000


No. 2
VASP calculation (PBE-GGA) on an optimized crystal structure of SiTe.

Output
**Total magnetic moment**: 0.000 μB per atom
**VASP energy**: -47.319 eV for the cell shown
**ρ**: 4.05 g/cm3

a = 8.6692 Å, b = 8.6692 Å, c = 5.8791 Å
α = 90.00°, β = 90.00°, γ = 120.00°
Element x y z (fractional)
Si  0.0055  0.6471  0.2500
Si  0.3529  0.3583  0.2500
Si  0.3583  0.0055  0.7500
Si  0.6417  0.9945  0.2500
Si  0.6471  0.6417  0.7500
Si  0.9945  0.3529  0.7500
Te  0.0564  0.6917  0.7500
Te  0.3083  0.3647  0.7500
Te  0.3647  0.0564  0.2500
Te  0.6353  0.9436  0.7500
Te  0.6917  0.6353  0.2500
Te  0.9436  0.3083  0.2500


No. 3
VASP calculation (PBE-GGA) on an optimized crystal structure of LiZrBe.

Output
**Total magnetic moment**: 0.047 μB per atom
**ΔE_f**: 216 meV per atom
**ΔE to the lowest computed polymorph**: 181 meV/atom
**VASP energy**: -13.540 eV for the cell shown
**ρ**: 3.87 g/cm3

a = 4.4225 Å, b = 4.4225 Å, c = 2.7165 Å
α = 90.00°, β = 90.00°, γ = 120.00°
Element x y z (fractional)
Li  0.0000  0.0000  0.0000
Zr  0.6667  0.3333  0.4976
Be  0.3333  0.6667  0.9950


No. 4
VASP calculation (PBE-GGA) on an optimized crystal structure of Ho6Er2Tm3Zr.

Output
**Total magnetic moment**: 0.000 μB per atom
**ΔE_f**: 43 meV per atom
**VASP energy**: -58.045 eV for the cell shown
**ρ**: 8.94 g/cm3

a = 6.0240 Å, b = 6.0240 Å, c = 11.5255 Å
α = 94.97°, β = 94.97°, γ = 119.90°
Element x y z (fractional)
Ho  0.0817  0.4091  0.7458
Ho  0.2453  0.2453  0.2549
Ho  0.4091  0.0817  0.7458
Ho  0.5909  0.9183  0.2542
Ho  0.7547  0.7547  0.7451
Ho  0.9183  0.5909  0.2542
Er  0.3331  0.6669  0.5000
Er  0.6669  0.3331  0.5000
Tm  0.1666  0.8334  0.0000
Tm  0.5000  0.5000  0.0000
Tm  0.8334  0.1666  0.0000
Zr  0.0000  0.0000  0.5000


No. 5
VASP calculation (PBE-GGA) on an optimized crystal structure of MgIrAu3.

Output
**Total magnetic moment**: 0.000 μB per atom
**ΔE_f**: 724 meV per atom
**ΔE to the lowest computed polymorph**: 0 meV/atom
**VASP energy**: -16.669 eV for the cell shown
**ρ**: 10.49 g/cm3

a = 5.0370 Å, b = 5.0370 Å, c = 5.0370 Å
α = 90.00°, β = 90.00°, γ = 90.00°
Element x y z (fractional)
Mg  0.0000  0.0000  0.0000
Ir  0.5000  0.5000  0.5000
Au  0.0000  0.5000  0.5000
Au  0.5000  0.0000  0.5000
Au  0.5000  0.5000  0.0000


No. 6
VASP calculation (PBE-GGA) on an optimized crystal structure of TlSb2Pt.

Output
**Total magnetic moment**: 0.000 μB per atom
**ΔE to the lowest computed polymorph**: 193 meV/atom
**VASP energy**: -17.008 eV for the cell shown
**ρ**: 10.50 g/cm3

a = 3.2671 Å, b = 3.2671 Å, c = 9.5286 Å
α = 90.00°, β = 90.00°, γ = 90.00°
Element x y z (fractional)
Tl  0.0000  0.0000  0.0000
Sb  0.5000  0.5000  0.3128
Sb  0.5000  0.5000  0.6872
Pt  0.0000  0.0000  0.5000


No. 7
VASP calculation (PBE-GGA) on an optimized crystal structure of CsTlS2.

Output
**Total magnetic moment**: 0.000 μB per atom
**ΔE to the lowest computed polymorph**: 397 meV/atom
**VASP energy**: -12.223 eV for the cell shown
**ρ**: 6.08 g/cm3

a = 3.6552 Å, b = 3.6552 Å, c = 8.2101 Å
α = 90.00°, β = 90.00°, γ = 90.00°
Element x y z (fractional)
Cs  0.0000  0.0000  0.0000
Tl  0.0000  0.0000  0.5000
S  0.5000  0.5000  0.2989
S  0.5000  0.5000  0.7011


No. 8
VASP calculation (PBE-GGA) on an optimized crystal structure of LaTb3Ce2Dy6.

Output
**Total magnetic moment**: 0.152 μB per atom
**ΔE_f**: 49 meV per atom
**VASP energy**: -57.714 eV for the cell shown
**ρ**: 8.15 g/cm3

a = 6.1614 Å, b = 6.1614 Å, c = 11.7715 Å
α = 95.01°, β = 95.01°, γ = 120.02°
Element x y z (fractional)
La  0.0000  0.0000  0.0000
Tb  0.1665  0.8335  0.5000
Tb  0.5000  0.5000  0.5000
Tb  0.8335  0.1665  0.5000
Ce  0.3333  0.6667  0.0000
Ce  0.6667  0.3333  0.0000
Dy  0.0839  0.4206  0.2503
Dy  0.2528  0.2528  0.7497
Dy  0.4206  0.0839  0.2503
Dy  0.5794  0.9161  0.7497
Dy  0.7472  0.7472  0.2503
Dy  0.9161  0.5794  0.7497